No. 1
DFT (GGA-PBE) results for an optimized crystal structure of Cd3Sb.

```
data_Cd3Sb
_chemical_formula_sum 'Cd3 Sb1'
_cell_length_a 4.148
_cell_length_b 4.148
_cell_length_c 5.891
_cell_angle_alpha 90.00
_cell_angle_beta 90.00
_cell_angle_gamma 90.00
_space_group_name_H-M_alt 'P 1'
_space_group_IT_number 1
_space_group_name_Hall 'P 1'
loop_
_atom_site_label
_atom_site_type_symbol
_atom_site_fract_x
_atom_site_fract_y
_atom_site_fract_z
Sb1 Sb 0.500 0.500 0.750
Cd1 Cd 0.000 0.000 0.999
Cd2 Cd 0.500 0.500 0.250
Cd3 Cd 0.000 0.000 0.501
```

Properties
- offset from the most stable computed form (meV per atom) = 40
- raw formation energy (kcal/mol of atoms) = 2.0
- SG = P4/mmm

=====

No. 2
DFT (GGA-PBE) results for an optimized crystal structure of CdSb.

```
data_CdSb
_chemical_formula_sum 'Cd2 Sb2'
_cell_length_a 6.744
_cell_length_b 6.744
_cell_length_c 6.744
_cell_angle_alpha 145.57
_cell_angle_beta 140.66
_cell_angle_gamma 53.26
_space_group_name_H-M_alt 'P 1'
_space_group_IT_number 1
_space_group_name_Hall 'P 1'
loop_
_atom_site_label
_atom_site_type_symbol
_atom_site_fract_x
_atom_site_fract_y
_atom_site_fract_z
Cd1 Cd 0.662 0.412 0.750
Sb1 Sb 0.906 0.156 0.250
Sb2 Sb 0.094 0.844 0.750
Cd2 Cd 0.338 0.588 0.250
```

Properties
- offset from the most stable computed form (meV per atom) = 146
- raw formation energy (kcal/mol of atoms) = 2.3
- SG = Imma

=====

No. 3
DFT (GGA-PBE) results for an optimized crystal structure of CdSb.

```
data_CdSb
_chemical_formula_sum 'Cd6 Sb6'
_cell_length_a 8.305
_cell_length_b 8.305
_cell_length_c 5.975
_cell_angle_alpha 90.00
_cell_angle_beta 90.00
_cell_angle_gamma 120.00
_space_group_name_H-M_alt 'P 1'
_space_group_IT_number 1
_space_group_name_Hall 'P 1'
loop_
_atom_site_label
_atom_site_type_symbol
_atom_site_fract_x
_atom_site_fract_y
_atom_site_fract_z
Sb1 Sb 0.845 0.574 0.750
Cd1 Cd 0.148 0.425 0.750
Sb2 Sb 0.729 0.155 0.750
Sb3 Sb 0.271 0.845 0.250
Cd2 Cd 0.723 0.148 0.250
Cd3 Cd 0.852 0.575 0.250
Sb4 Sb 0.574 0.729 0.250
Cd4 Cd 0.575 0.723 0.750
Cd5 Cd 0.425 0.277 0.250
Sb5 Sb 0.426 0.271 0.750
Cd6 Cd 0.277 0.852 0.750
Sb6 Sb 0.155 0.426 0.250
```

Properties
- offset from the most stable computed form (meV per atom) = 160
- raw formation energy (kcal/mol of atoms) = 2.6
- SG = P6_3/m

=====

No. 4
DFT (GGA-PBE) results for an optimized crystal structure of CdSb.

```
data_CdSb
_chemical_formula_sum 'Cd2 Sb2'
_cell_length_a 3.265
_cell_length_b 3.265
_cell_length_c 11.082
_cell_angle_alpha 90.00
_cell_angle_beta 90.00
_cell_angle_gamma 120.00
_space_group_name_H-M_alt 'P 1'
_space_group_IT_number 1
_space_group_name_Hall 'P 1'
loop_
_atom_site_label
_atom_site_type_symbol
_atom_site_fract_x
_atom_site_fract_y
_atom_site_fract_z
Sb1 Sb 0.667 0.333 0.765
Cd1 Cd 0.667 0.333 0.239
Sb2 Sb 0.000 0.000 0.485
Cd2 Cd 0.000 0.000 0.011
```

Properties
- offset from the most stable computed form (meV per atom) = 213
- raw formation energy (kcal/mol of atoms) = 3.8
- SG = P-3m1

=====

How do the records compare in total DFT energy (no corrections)? In the order shown, they have -1.629 -2.419 -2.405 -2.352 eV/atom.